A plane-wave DFT calculation with PBE-GGA was carried out for crystalline KIr at its relaxed geometry.

Output
Formation enthalpy at 0 K (eV per atom): 0.453
Density of states at the Fermi level (states/eV per atom): 0.663
Magnetization (μB per formula unit): 0.00
Density (g/cm3): 6.3

```
4
Lattice="-0.3179 -1.6734 -3.0370 3.4608 0.0362 -0.3822 0.6204 -8.8015 4.7848" Properties=species:S:1:pos:R:3 pbc="T T T"
K 0.2529 -3.5885 1.9508
Ir 1.6693 -2.2068 -0.9549
K 2.0940 -8.2320 2.3206
Ir 0.0573 -0.8122 0.4416
```

=====

A plane-wave DFT calculation with PBE-GGA was carried out for crystalline RbCa2YBi at its relaxed geometry.

Output
Formation enthalpy at 0 K (eV per atom): 0.271
Density of states at the Fermi level (states/eV per atom): 0.987
Magnetization (μB per formula unit): 1.10
Density (g/cm3): 3.0

```
5
Lattice="6.0992 0.0000 0.0000 0.0000 6.8010 0.0000 0.0000 0.0000 6.0992" Properties=species:S:1:pos:R:3 pbc="T T T"
Ca 3.0496 0.0000 0.0000
Rb 0.0000 3.4005 0.0000
Bi 0.0000 0.0000 0.0000
Y 3.0496 3.4005 3.0496
Ca 0.0000 0.0000 3.0496
```

=====

A plane-wave DFT calculation with PBE-GGA was carried out for crystalline RbTiOsO6 at its relaxed geometry.

Output
Density of states at the Fermi level (states/eV per atom): 0.469
Magnetization (μB per formula unit): 1.00
Density (g/cm3): 5.1
E_form (uncorrected) (eV/atom): -1.794

```
18
Lattice="-1.8422 0.9182 6.9173 6.7029 -1.9652 2.0459 -0.9049 5.4663 -4.7314" Properties=species:S:1:pos:R:3 pbc="T T T"
Os -0.9211 0.4591 3.4587
O 5.6118 0.4204 1.4387
Rb 2.0163 0.6124 0.4557
O 3.5381 0.3822 3.2782
O 0.4176 4.0370 0.9536
O 2.8638 0.7184 5.8104
O 0.9548 0.6164 3.9373
O -0.6188 1.6010 2.0093
O 4.5746 2.8182 2.2224
O -1.6560 3.9988 2.7931
Os 2.4303 -0.5235 4.4816
Ti -0.4525 2.7331 -2.3657
O -1.2932 1.9371 4.5416
Rb 1.9394 3.8068 3.7761
O 5.2490 2.4821 -0.3098
O 3.0010 3.8028 0.2944
O 1.0920 3.7009 -1.5787
Ti -1.3735 3.1922 1.0929
```

=====

Look up the density of the second one.
3.0 g/cm3

=====

Which of these has the highest magnetization?
RbCa2YBi